1.
First-principles (PBE-GGA) data for crystalline CeEuO2 at its relaxed geometry, as listed in Alexandria.

The structure in POSCAR format:
```
CeEuO2
1.0
-0.9168 -1.4779 3.0737
0.3041 -3.4907 0.4412
5.2713 -0.9286 3.1547
O Eu Ce
2 1 1
Direct
0.7515 0.7515 0.7455
0.2485 0.2485 0.2545
0.0000 0.0000 0.0000
0.5000 0.5000 0.5000
```

Output
E_form (uncorrected) ... -2.776 eV/atom
Polymorph energy (0 for the lowest one) ... 0 meV/atom
Total DFT energy (no corrections) ... -9.31 eV/atom

***

2.
First-principles (PBE-GGA) data for crystalline UTl2InS4 at its relaxed geometry, as listed in Alexandria.

The structure in POSCAR format:
```
UTl2InS4
1.0
4.0701 0.0000 0.0000
0.0000 7.5370 0.2052
0.0000 -2.5582 7.2046
Tl S U In
2 4 1 1
Direct
0.0000 0.5000 0.5000
0.5000 0.0000 0.5000
0.5000 0.2810 0.1972
0.5000 0.7190 0.8028
0.0000 0.7063 0.1971
0.0000 0.2937 0.8029
0.5000 0.5000 0.0000
0.0000 0.0000 0.0000
```

Output
E_form (uncorrected) ... -0.758 eV/atom
Total DFT energy (no corrections) ... -5.17 eV/atom

***

> total DFT energy (no corrections) of number 2 (UTl2InS4)?

-5.17 eV/atom

***

> total DFT energy (no corrections) of number 2 (UTl2InS4)?

-5.17 eV/atom